This record from Alexandria describes a relaxed structure of Pr3NdHo2Se6. The functional is PBE.

Geometry as CIF:
```
data_Pr3NdHo2Se6
_space_group_name_H-M_alt 'C 1 2/m 1'
_space_group_IT_number 12
_cell_length_a 7.198
_cell_length_b 12.524
_cell_length_c 7.335
_cell_angle_alpha 90.00
_cell_angle_beta 109.18
_cell_angle_gamma 90.00
loop_
_space_group_symop_operation_xyz
'x,y,z'
'-x,-y,-z'
'-x,y,-z'
'x,-y,z'
'x+1/2,y+1/2,z'
'-x+1/2,-y+1/2,-z'
'-x+1/2,y+1/2,-z'
'x+1/2,-y+1/2,z'
loop_
_atom_site_label
_atom_site_fract_x
_atom_site_fract_y
_atom_site_fract_z
Pr1 0.000 0.000 0.000
Pr2 0.000 0.340 0.000
Nd1 0.000 0.500 0.500
Ho1 0.000 0.166 0.500
Se1 0.234 0.000 0.732
Se2 0.249 0.172 0.262
```

Properties
VASP energy   -5.91 eV/atom
Uncorrected formation energy   -1.808 eV/atom
M_tot   0.0 μB/cell